# 1
The following is a PBE calculation of Ba4PdAuBr2 after structural relaxation, from the Alexandria database.

Lattice parameters (Å, degrees): 8.0255 4.6362 8.8606 90.00 107.60 90.00
Closest atoms and distances in Å follow each position.
Space group P2/m (No. 10)
Asymmetric unit:
Ba (0.2333, 0.0000, 0.2169) [2 per cell]  2 Pd 3.22, 1 Au 3.28, 3 Br 3.55-3.61
Ba (0.2550, 0.5000, 0.7804) [2 per cell]  1 Pd 3.22, 2 Au 3.27, 3 Br 3.56-3.60
Pd (0.0000, 0.5000, 0.0000) [1 per cell]  6 Ba 3.22
Au (0.5000, 0.0000, 0.0000) [1 per cell]  6 Ba 3.27-3.28
Br (0.0000, 0.0000, 0.5000) [1 per cell]  6 Ba 3.55-3.56
Br (0.5000, 0.5000, 0.5000) [1 per cell]  6 Ba 3.60-3.61

Results
As for the electronic total energy: -0.26427 Ry per atom. The raw formation energy comes out at -1.157 eV/atom.

# 2
The following is a PBE calculation of Ba6PtAu2Br after structural relaxation, from the Alexandria database.

Lattice parameters (Å, degrees): 8.1589 8.1589 23.4165 90.00 90.00 120.00
Closest atoms and distances in Å follow each position.
Space group R3 (No. 146, hexagonal axes)
Asymmetric unit:
Ba (0.0041, 0.3275, 0.0000) [9 per cell]  1 Pt 3.16, 2 Au 3.35-3.36, 1 Br 3.53
Ba (0.0043, 0.6941, 0.8435) [9 per cell]  1 Pt 3.18, 2 Au 3.29-3.37, 1 Br 3.42
Pt (0.0000, 0.0000, 0.9265) [3 per cell]  6 Ba 3.16-3.18
Au (0.0000, 0.0000, 0.2506) [3 per cell]  6 Ba 3.29-3.35
Au (0.0000, 0.0000, 0.7475) [3 per cell]  6 Ba 3.36-3.37
Br (0.0000, 0.0000, 0.4293) [3 per cell]  6 Ba 3.42-3.53

Results
As for the electronic total energy: -0.24936 Ry per atom. The raw formation energy comes out at -0.812 eV/atom.

# 3
The following is a PBE calculation of Ba6Pt2Au3Br after structural relaxation, from the Alexandria database.

Lattice parameters (Å, degrees): 20.4909 4.6540 9.5744 90.00 102.85 90.00
Closest atoms and distances in Å follow each position.
Space group C2/m (No. 12)
Asymmetric unit:
Ba (0.0100, 0.0000, 0.2670) [4 per cell]  1 Pt 3.14, 3 Au 3.26-3.38, 2 Br 3.43
Ba (0.1709, 0.5000, 0.5708) [4 per cell]  3 Pt 3.25-3.26, 3 Au 3.42-3.48
Ba (0.1746, 0.5000, 0.1058) [4 per cell]  2 Pt 3.20, 3 Au 3.33-3.45, 1 Br 3.50
Pt (0.1670, 0.0000, 0.3305) [4 per cell]  6 Ba 3.14-3.26
Au (0.0000, 0.5000, 0.5000) [2 per cell]  6 Ba 3.26-3.42
Au (0.1588, 0.0000, 0.8347) [4 per cell]  6 Ba 3.33-3.48
Br (0.0000, 0.5000, 0.0000) [2 per cell]  6 Ba 3.43-3.50

Results
As for the electronic total energy: -0.27968 Ry per atom. The raw formation energy comes out at -0.878 eV/atom.

# 4
The following is a PBE calculation of Rb2BaAuBr6 after structural relaxation, from the Alexandria database.

Lattice parameters (Å, degrees): 8.4950 8.4950 11.3747 90.00 90.00 90.00
Closest atoms and distances in Å follow each position.
Space group I4/mmm (No. 139)
Asymmetric unit:
Rb (0.0000, 0.5000, 0.2500) [4 per cell]  12 Br 4.14-4.26
Ba (0.0000, 0.0000, 0.0000) [2 per cell]  6 Br 3.13
Au (0.0000, 0.0000, 0.5000) [2 per cell]  2 Br 2.55
Br (0.0000, 0.0000, 0.2755) [4 per cell]  1 Au 2.55
Br (0.2397, 0.2397, 0.5000) [8 per cell]  1 Au 2.88, 1 Ba 3.13

Results
As for the electronic total energy: -0.21919 Ry per atom. The raw formation energy comes out at -1.265 eV/atom.

# 5
The following is a PBE calculation of Rb2BaAu2Br6 after structural relaxation, from the Alexandria database.

Lattice parameters (Å, degrees): 14.7398 8.2806 8.4606 90.00 121.06 90.00
Closest atoms and distances in Å follow each position.
Space group C2/m (No. 12)
Asymmetric unit:
Rb (0.2404, 0.0000, 0.2028) [4 per cell]  5 Br 3.48-3.54
Ba (0.0000, 0.0000, 0.5000) [2 per cell]  6 Br 3.22-3.23
Au (0.0509, 0.5000, 0.2049) [4 per cell]  3 Br 2.55-2.66
Br (0.0750, 0.2537, 0.8332) [8 per cell]  1 Au 2.66
Br (0.2469, 0.0000, 0.6201) [4 per cell]  1 Au 2.55

Results
As for the electronic total energy: -0.22376 Ry per atom. The raw formation energy comes out at -1.185 eV/atom.

# 6
The following is a PBE calculation of Ba4RhAu2Br after structural relaxation, from the Alexandria database.

Lattice parameters (Å, degrees): 9.4011 9.5323 13.3022 90.00 90.00 90.00
Closest atoms and distances in Å follow each position.
Space group Imma (No. 74)
Asymmetric unit:
Ba (0.0000, 0.0079, 0.2336) [8 per cell]  1 Rh 3.11, 2 Au 3.30, 2 Br 3.41
Ba (0.2328, 0.2500, 0.0025) [8 per cell]  2 Rh 3.24, 3 Au 3.30-3.46, 1 Br 3.36
Rh (0.0000, 0.0000, 0.0000) [4 per cell]  6 Ba 3.11-3.24
Au (0.0000, 0.0000, 0.5000) [4 per cell]  6 Ba 3.46-3.55
Au (0.2500, 0.2500, 0.2500) [4 per cell]  6 Ba 3.30
Br (0.2500, 0.2500, 0.7500) [4 per cell]  6 Ba 3.36-3.41

Results
As for the electronic total energy: -0.27042 Ry per atom. The raw formation energy comes out at -0.771 eV/atom.

# 7
The following is a PBE calculation of Ba8RhAu3Br4 after structural relaxation, from the Alexandria database.

Lattice parameters (Å, degrees): 9.2675 9.2675 25.3086 90.00 90.00 120.00
Closest atoms and distances in Å follow each position.
Space group R-3m (No. 166, hexagonal axes)
Asymmetric unit:
Ba (0.0000, 0.0000, 0.2411) [6 per cell]  3 Au 3.27, 3 Br 3.55
Ba (0.0146, 0.5073, 0.2390) [18 per cell]  1 Rh 3.15, 2 Au 3.29
Rh (0.0000, 0.0000, 0.5000) [3 per cell]  6 Ba 3.15
Au (0.0000, 0.5000, 0.5000) [9 per cell]  6 Ba 3.27-3.29
Br (0.0000, 0.0000, 0.0000) [3 per cell]  6 Ba 3.67
Br (0.0000, 0.5000, 0.0000) [9 per cell]  6 Ba 3.54-3.55

Results
As for the electronic total energy: -0.26399 Ry per atom. The raw formation energy comes out at -1.138 eV/atom.

# 8
The following is a PBE calculation of Ba6Rh2AuBr3 after structural relaxation, from the Alexandria database.

Lattice parameters (Å, degrees): 7.9551 13.7741 8.7076 90.00 107.75 90.00
Closest atoms and distances in Å follow each position.
Space group C2/m (No. 12)
Asymmetric unit:
Ba (0.2162, 0.0000, 0.2142) [4 per cell]  2 Rh 3.12, 1 Au 3.34, 1 Br 3.43
Ba (0.2493, 0.3222, 0.2143) [8 per cell]  2 Rh 3.12, 1 Au 3.34, 1 Br 3.45
Rh (0.0000, 0.1668, 0.0000) [4 per cell]  6 Ba 3.12
Au (0.0000, 0.5000, 0.0000) [2 per cell]  6 Ba 3.34
Br (0.0000, 0.0000, 0.5000) [2 per cell]  6 Ba 3.43-3.62
Br (0.0000, 0.3356, 0.5000) [4 per cell]  6 Ba 3.45-3.63

Results
As for the electronic total energy: -0.28740 Ry per atom. The raw formation energy comes out at -1.032 eV/atom.

# 9
The following is a PBE calculation of Ba4RhAuBr2 after structural relaxation, from the Alexandria database.

Lattice parameters (Å, degrees): 7.9931 4.5917 8.7450 90.00 107.22 90.00
Closest atoms and distances in Å follow each position.
Space group P2/m (No. 10)
Asymmetric unit:
Ba (0.2245, 0.0000, 0.2138) [2 per cell]  2 Rh 3.16, 1 Au 3.28, 1 Br 3.48
Ba (0.2431, 0.5000, 0.7814) [2 per cell]  1 Rh 3.10, 2 Au 3.29
Rh (0.0000, 0.5000, 0.0000) [1 per cell]  6 Ba 3.10-3.16
Au (0.5000, 0.0000, 0.0000) [1 per cell]  6 Ba 3.28-3.29
Br (0.0000, 0.0000, 0.5000) [1 per cell]  6 Ba 3.48-3.50
Br (0.5000, 0.5000, 0.5000) [1 per cell]  6 Ba 3.62-3.64

Results
As for the electronic total energy: -0.27770 Ry per atom. The raw formation energy comes out at -1.070 eV/atom.

# 10
The following is a PBE calculation of Ba6RhAu2Br after structural relaxation, from the Alexandria database.

Lattice parameters (Å, degrees): 7.9404 8.8134 14.1522 90.00 122.60 90.00
Closest atoms and distances in Å follow each position.
Space group P2_1/c (No. 14)
Asymmetric unit:
Ba (0.0805, 0.0534, 0.2365) [4 per cell]  1 Rh 3.09, 1 Au 3.41, 1 Br 3.44
Ba (0.2351, 0.6972, 0.0781) [4 per cell]  1 Rh 3.10, 1 Br 3.34
Ba (0.3855, 0.1664, 0.0721) [4 per cell]  1 Rh 3.03, 1 Br 3.39
Rh (0.0000, 0.0000, 0.0000) [2 per cell]  6 Ba 3.03-3.10
Au (0.3047, 0.1101, 0.7510) [4 per cell]  6 Ba 3.41-3.54
Br (0.5000, 0.0000, 0.5000) [2 per cell]  6 Ba 3.34-3.44

Results
As for the electronic total energy: -0.24945 Ry per atom. The raw formation energy comes out at -0.682 eV/atom.

# 11
The following is a PBE calculation of Ba8RhAuBr2 after structural relaxation, from the Alexandria database.

Lattice parameters (Å, degrees): 7.8672 9.2759 8.1748 90.00 91.53 90.00
Closest atoms and distances in Å follow each position.
Space group P2/m (No. 10)
Asymmetric unit:
Ba (0.2198, 0.0000, 0.1954) [2 per cell]  1 Rh 3.07
Ba (0.2298, 0.2382, 0.6556) [4 per cell]  1 Rh 3.11, 1 Au 3.27
Ba (0.2318, 0.5000, 0.1748) [2 per cell]  1 Au 3.26, 2 Br 3.48
Rh (0.0000, 0.0000, 0.5000) [1 per cell]  6 Ba 3.07-3.11
Au (0.0000, 0.5000, 0.5000) [1 per cell]  6 Ba 3.26-3.27
Br (0.5000, 0.2477, 0.0000) [2 per cell]  6 Ba 3.48-3.59

Results
As for the electronic total energy: -0.23222 Ry per atom. The raw formation energy comes out at -0.713 eV/atom.

# 12
The following is a PBE calculation of Ba6AuS2Br3 after structural relaxation, from the Alexandria database.

Lattice parameters (Å, degrees): 8.1101 14.0498 8.3146 90.00 108.91 90.00
Closest atoms and distances in Å follow each position.
Space group C2/m (No. 12)
Asymmetric unit:
Ba (0.2342, 0.0000, 0.2210) [4 per cell]  2 S 3.19, 1 Au 3.25, 3 Br 3.44-3.51
Ba (0.2427, 0.3303, 0.2202) [8 per cell]  2 S 3.19, 1 Au 3.25, 3 Br 3.44-3.51
Au (0.0000, 0.5000, 0.0000) [2 per cell]  6 Ba 3.25
S (0.0000, 0.1665, 0.0000) [4 per cell]  6 Ba 3.19
Br (0.0000, 0.0000, 0.5000) [2 per cell]  6 Ba 3.44-3.51
Br (0.0000, 0.3321, 0.5000) [4 per cell]  6 Ba 3.44-3.51

Results
As for the electronic total energy: -0.28985 Ry per atom. The raw formation energy comes out at -1.603 eV/atom.